Computed, not measured: a geometry-optimized MoRuO2F structure at the GGA+U level of DFT.

## Properties
Density of states at the Fermi level = 0.689 states/eV/atom
E_tot = -29.99 eV/f.u.
SG = P4/mmm, No. 123

```
5
Lattice="3.9436 0.0000 0.0000 0.0000 3.9436 0.0000 0.0000 0.0000 4.2624" Properties=species:S:1:pos:R:3 pbc="T T T"
Ru 1.9718 1.9718 2.1312
F 0.0000 0.0000 2.1312
Mo 0.0000 0.0000 0.0000
O 0.0000 1.9718 0.0000
O 1.9718 0.0000 0.0000
```